# CaFe3I9, optimized geometry, DFT PBE
# DFT total energy   -3.608 eV per atom
# Calculated density   3.79 g/cm³
data_CaFe3I9
_chemical_formula_sum 'Ca4 Fe12 I36'
_cell_length_a 20.445
_cell_length_b 10.219
_cell_length_c 14.710
_cell_angle_alpha 90.00
_cell_angle_beta 129.68
_cell_angle_gamma 90.00
_symmetry_space_group_name_H-M 'C 1 c 1'
_symmetry_Int_Tables_number 9
loop_
_symmetry_equiv_pos_as_xyz
'x,y,z'
'x,-y,z+1/2'
'x+1/2,y+1/2,z'
'x+1/2,-y+1/2,z+1/2'
loop_
_atom_site_label
_atom_site_fract_x
_atom_site_fract_y
_atom_site_fract_z
Ca1 0.000 0.227 0.000
Fe1 0.148 0.114 0.833
Fe2 0.235 0.420 0.715
Fe3 0.362 0.077 0.674
I1 0.023 0.079 0.832
I2 0.121 0.343 0.732
I3 0.153 0.063 0.214
I4 0.165 0.385 0.073
I5 0.237 0.243 0.583
I6 0.304 0.131 0.036
I7 0.374 0.482 0.922
I8 0.409 0.006 0.374
I9 0.485 0.184 0.694

***

# Ca2FeI, optimized geometry, DFT PBE
# DFT total energy   -3.335 eV per atom
# Calculated density   3.45 g/cm³
# Energy relative to the lowest polymorph listed for this composition   3.5 kJ per mole of atoms
data_Ca2FeI
_chemical_formula_sum 'Ca8 Fe4 I4'
_cell_length_a 8.201
_cell_length_b 8.201
_cell_length_c 7.532
_cell_angle_alpha 90.00
_cell_angle_beta 90.00
_cell_angle_gamma 90.00
_symmetry_space_group_name_H-M 'I -4 2 d'
_symmetry_Int_Tables_number 122
_symmetry_space_group_name_Hall 'I -4 2bw'
loop_
_atom_site_label
_atom_site_fract_x
_atom_site_fract_y
_atom_site_fract_z
Ca1 0.224 0.750 0.125
Fe1 0.000 0.000 0.000
I1 0.000 0.000 0.500

***

# CaFe3I12, optimized geometry, DFT PBE
# DFT total energy   -3.244 eV per atom
# Calculated density   3.67 g/cm³
data_CaFe3I12
_chemical_formula_sum 'Ca6 Fe18 I72'
_cell_length_a 12.1539
_cell_length_b 12.1539
_cell_length_c 36.7324
_cell_angle_alpha 90.00
_cell_angle_beta 90.00
_cell_angle_gamma 120.00
_symmetry_space_group_name_H-M 'R 3 c'
_symmetry_Int_Tables_number 161
_symmetry_space_group_name_Hall 'R 3 -2"c'
loop_
_atom_site_label
_atom_site_fract_x
_atom_site_fract_y
_atom_site_fract_z
Ca1 0.0000 0.0000 0.0000
Fe1 0.0587 0.3641 0.0586
I1 0.1946 0.4030 0.8910
I2 0.1962 0.4136 0.0034
I3 0.1996 0.4180 0.1160
I4 0.2118 0.4460 0.7274

***

# CaFe4I12, optimized geometry, DFT PBE
# DFT total energy   -3.434 eV per atom
# Calculated density   4.78 g/cm³
data_CaFe4I12
_chemical_formula_sum 'Ca2 Fe8 I24'
_cell_length_a 10.479
_cell_length_b 10.770
_cell_length_c 11.006
_cell_angle_alpha 90.00
_cell_angle_beta 90.00
_cell_angle_gamma 90.00
_symmetry_space_group_name_H-M 'I m m m'
_symmetry_Int_Tables_number 71
_symmetry_space_group_name_Hall '-I 2 2'
loop_
_atom_site_label
_atom_site_fract_x
_atom_site_fract_y
_atom_site_fract_z
Ca1 0.000 0.000 0.000
Fe1 0.250 0.250 0.250
I1 0.000 0.316 0.307
I2 0.181 0.000 0.275
I3 0.186 0.233 0.000

***

# CaFeI5, optimized geometry, DFT PBE
# DFT total energy   -3.327 eV per atom
# Calculated density   3.64 g/cm³
data_CaFeI5
_chemical_formula_sum 'Ca4 Fe4 I20'
_cell_length_a 11.835
_cell_length_b 11.261
_cell_length_c 11.482
_cell_angle_alpha 90.00
_cell_angle_beta 119.37
_cell_angle_gamma 90.00
_symmetry_space_group_name_H-M 'C 1 2/c 1'
_symmetry_Int_Tables_number 15
loop_
_symmetry_equiv_pos_as_xyz
'x,y,z'
'-x,-y,-z'
'-x,y,-z+1/2'
'x,-y,z+1/2'
'x+1/2,y+1/2,z'
'-x+1/2,-y+1/2,-z'
'-x+1/2,y+1/2,-z+1/2'
'x+1/2,-y+1/2,z+1/2'
loop_
_atom_site_label
_atom_site_fract_x
_atom_site_fract_y
_atom_site_fract_z
Ca1 0.000 0.000 0.000
Fe1 0.000 0.399 0.250
I1 0.000 0.092 0.750
I2 0.024 0.278 0.449
I3 0.193 0.457 0.832

***

# Ca4FeI2, optimized geometry, DFT PBE
# DFT total energy   -3.045 eV per atom
# Calculated density   2.93 g/cm³
data_Ca4FeI2
_chemical_formula_sum 'Ca8 Fe2 I4'
_cell_length_a 5.308
_cell_length_b 5.308
_cell_length_c 18.921
_cell_angle_alpha 90.00
_cell_angle_beta 90.00
_cell_angle_gamma 90.00
_symmetry_space_group_name_H-M 'I 4/m m m'
_symmetry_Int_Tables_number 139
_symmetry_space_group_name_Hall '-I 4 2'
loop_
_atom_site_label
_atom_site_fract_x
_atom_site_fract_y
_atom_site_fract_z
Ca1 0.000 0.000 0.150
Ca2 0.000 0.500 0.000
Fe1 0.000 0.000 0.000
I1 0.000 0.000 0.319

***

# Ca2FeI, optimized geometry, DFT PBE
# DFT total energy   -3.371 eV per atom
# Calculated density   3.91 g/cm³
# Energy relative to the lowest polymorph listed for this composition   0.0 kJ per mole of atoms
data_Ca2FeI
_chemical_formula_sum 'Ca8 Fe4 I4'
_cell_length_a 7.643
_cell_length_b 7.643
_cell_length_c 7.643
_cell_angle_alpha 90.00
_cell_angle_beta 90.00
_cell_angle_gamma 90.00
_symmetry_space_group_name_H-M 'F m -3 m'
_symmetry_Int_Tables_number 225
_symmetry_space_group_name_Hall '-F 4 2 3'
loop_
_atom_site_label
_atom_site_fract_x
_atom_site_fract_y
_atom_site_fract_z
Ca1 0.250 0.250 0.250
Fe1 0.000 0.000 0.000
I1 0.000 0.000 0.500

***

# CaFe2I6, optimized geometry, DFT PBE
# DFT total energy   -3.684 eV per atom
# Calculated density   3.98 g/cm³
data_CaFe2I6
_chemical_formula_sum 'Ca4 Fe8 I24'
_cell_length_a 15.931
_cell_length_b 13.788
_cell_length_c 7.669
_cell_angle_alpha 90.00
_cell_angle_beta 115.23
_cell_angle_gamma 90.00
_symmetry_space_group_name_H-M 'C 1 2/c 1'
_symmetry_Int_Tables_number 15
loop_
_symmetry_equiv_pos_as_xyz
'x,y,z'
'-x,-y,-z'
'-x,y,-z+1/2'
'x,-y,z+1/2'
'x+1/2,y+1/2,z'
'-x+1/2,-y+1/2,-z'
'-x+1/2,y+1/2,-z+1/2'
'x+1/2,-y+1/2,z+1/2'
loop_
_atom_site_label
_atom_site_fract_x
_atom_site_fract_y
_atom_site_fract_z
Ca1 0.000 0.248 0.250
Fe1 0.203 0.086 0.631
I1 0.118 0.233 0.690
I2 0.119 0.412 0.182
I3 0.146 0.075 0.251

***

Repeat the second record exactly.
# Ca2FeI, optimized geometry, DFT PBE
# DFT total energy   -3.335 eV per atom
# Calculated density   3.45 g/cm³
# Energy relative to the lowest polymorph listed for this composition   3.5 kJ per mole of atoms
data_Ca2FeI
_chemical_formula_sum 'Ca8 Fe4 I4'
_cell_length_a 8.201
_cell_length_b 8.201
_cell_length_c 7.532
_cell_angle_alpha 90.00
_cell_angle_beta 90.00
_cell_angle_gamma 90.00
_symmetry_space_group_name_H-M 'I -4 2 d'
_symmetry_Int_Tables_number 122
_symmetry_space_group_name_Hall 'I -4 2bw'
loop_
_atom_site_label
_atom_site_fract_x
_atom_site_fract_y
_atom_site_fract_z
Ca1 0.224 0.750 0.125
Fe1 0.000 0.000 0.000
I1 0.000 0.000 0.500